# AcPr2Ga, relaxed, DFT PBE-GGA
data_AcPr2Ga
_symmetry_space_group_name_H-M 'C m c m'
_symmetry_Int_Tables_number 63
_symmetry_space_group_name_Hall '-C 2c 2'
_cell_length_a 4.4375
_cell_length_b 12.8282
_cell_length_c 9.4434
_cell_angle_alpha 90.00
_cell_angle_beta 90.00
_cell_angle_gamma 90.00
loop_
_atom_site_label
_atom_site_fract_x
_atom_site_fract_y
_atom_site_fract_z
Ac1 0.0000 0.0610 0.2500
Pr1 0.0000 0.3533 0.0523
Ga1 0.0000 0.2433 0.7500
# - Excess energy over the best structure of this formula in the dataset: 1 meV/atom
# - Size of the total moment: 0.00 μB per cell
# - Formation enthalpy at 0 K: -22.7 kJ/mol of atoms
# - V: 537.6 Å³ per cell

---

# AcPr2Ga, relaxed, DFT PBE-GGA
data_AcPr2Ga
_symmetry_space_group_name_H-M 'P 4/m m m'
_symmetry_Int_Tables_number 123
_symmetry_space_group_name_Hall '-P 4 2'
_cell_length_a 5.0017
_cell_length_b 5.0017
_cell_length_c 5.0357
_cell_angle_alpha 90.00
_cell_angle_beta 90.00
_cell_angle_gamma 90.00
loop_
_atom_site_label
_atom_site_fract_x
_atom_site_fract_y
_atom_site_fract_z
Ac1 0.0000 0.0000 0.0000
Pr1 0.0000 0.5000 0.5000
Ga1 0.5000 0.5000 0.0000
# - Excess energy over the best structure of this formula in the dataset: 63 meV/atom
# - Size of the total moment: 0.00 μB per cell
# - Formation enthalpy at 0 K: -16.8 kJ/mol of atoms
# - V: 126.0 Å³ per cell

---

# AcPr2Ga4, relaxed, DFT PBE-GGA
data_AcPr2Ga4
_symmetry_space_group_name_H-M 'I m m m'
_symmetry_Int_Tables_number 71
_symmetry_space_group_name_Hall '-I 2 2'
_cell_length_a 4.3090
_cell_length_b 4.5751
_cell_length_c 19.0436
_cell_angle_alpha 90.00
_cell_angle_beta 90.00
_cell_angle_gamma 90.00
loop_
_atom_site_label
_atom_site_fract_x
_atom_site_fract_y
_atom_site_fract_z
Ac1 0.0000 0.0000 0.0000
Pr1 0.0000 0.5000 0.3156
Ga1 0.0000 0.0000 0.4320
Ga2 0.0000 0.5000 0.1450
# - Size of the total moment: 0.00 μB per cell
# - Formation enthalpy at 0 K: -58.8 kJ/mol of atoms
# - V: 375.4 Å³ per cell

---

# Ac2PrGa4, relaxed, DFT PBE-GGA
data_Ac2PrGa4
_symmetry_space_group_name_H-M 'I m m m'
_symmetry_Int_Tables_number 71
_symmetry_space_group_name_Hall '-I 2 2'
_cell_length_a 4.3149
_cell_length_b 4.5543
_cell_length_c 19.7529
_cell_angle_alpha 90.00
_cell_angle_beta 90.00
_cell_angle_gamma 90.00
loop_
_atom_site_label
_atom_site_fract_x
_atom_site_fract_y
_atom_site_fract_z
Ac1 0.0000 0.0000 0.1829
Pr1 0.0000 0.5000 0.5000
Ga1 0.0000 0.0000 0.3673
Ga2 0.0000 0.5000 0.0621
# - Size of the total moment: 0.00 μB per cell
# - Formation enthalpy at 0 K: -55.7 kJ/mol of atoms
# - V: 388.2 Å³ per cell